Computed, not measured: an optimized crystal structure of CaCoPt2Au at the PBE-GGA level of DFT.

a = 5.0396 Å, b = 5.0396 Å, c = 5.0909 Å
α = 90.00°, β = 90.00°, γ = 90.00°
With the nearest neighbours (Å) after each atom.
Fractional coordinates of all 5 atoms:
Ca1 0.0000 0.0000 0.0000  2 Au 2.55
Co1 0.5000 0.5000 0.0000  4 Ca 3.56, 8 Pt 3.58
Pt1 0.0000 0.5000 0.5000  2 Au 2.52
Pt2 0.5000 0.0000 0.5000  2 Au 2.52
Au1 0.0000 0.0000 0.5000  4 Pt 2.52, 2 Ca 2.55

Properties
DFT total energy = -19.52 eV/cell
DOS(E_F) = 8.259 states/eV/f.u.
Energy of formation from the pure elements = 988.8 meV per atom

=====

Computed, not measured: an optimized crystal structure of Ca2CoRhAu at the PBE-GGA level of DFT.

a = 5.1343 Å, b = 5.1343 Å, c = 4.6386 Å
α = 90.00°, β = 90.00°, γ = 90.00°
With the nearest neighbours (Å) after each atom.
Fractional coordinates of all 5 atoms:
Ca1 0.0000 0.5000 0.0000  2 Co 2.57
Ca2 0.5000 0.0000 0.0000  2 Co 2.57
Co1 0.0000 0.0000 0.0000  2 Au 2.32, 4 Ca 2.57
Rh1 0.5000 0.5000 0.5000  8 Ca 3.46, 4 Au 3.63
Au1 0.0000 0.0000 0.5000  2 Co 2.32

Properties
DFT total energy = -19.59 eV/cell
DOS(E_F) = 2.936 states/eV/f.u.
Energy of formation from the pure elements = 429.4 meV per atom

=====

Computed, not measured: an optimized crystal structure of CaCoRhAu2 at the PBE-GGA level of DFT.

a = 4.8438 Å, b = 4.8438 Å, c = 4.5414 Å
α = 90.00°, β = 90.00°, γ = 90.00°
With the nearest neighbours (Å) after each atom.
Fractional coordinates of all 5 atoms:
Ca1 0.0000 0.0000 0.0000  8 Au 3.32, 4 Rh 3.43
Co1 0.5000 0.5000 0.5000  2 Rh 2.27, 4 Au 2.42
Rh1 0.5000 0.5000 0.0000  2 Co 2.27
Au1 0.0000 0.5000 0.5000  2 Co 2.42
Au2 0.5000 0.0000 0.5000  2 Co 2.42

Properties
DFT total energy = -22.26 eV/cell
DOS(E_F) = 5.228 states/eV/f.u.
Energy of formation from the pure elements = 150.7 meV per atom

=====

Computed, not measured: an optimized crystal structure of CaCo2RuAu at the PBE-GGA level of DFT.

a = 4.4617 Å, b = 4.4617 Å, c = 4.6943 Å
α = 90.00°, β = 90.00°, γ = 90.00°
With the nearest neighbours (Å) after each atom.
Fractional coordinates of all 5 atoms:
Ca1 0.0000 0.0000 0.0000  4 Co 2.23, 2 Ru 2.35
Co1 0.0000 0.5000 0.0000  2 Ca 2.23
Co2 0.5000 0.0000 0.0000  2 Ca 2.23
Ru1 0.0000 0.0000 0.5000  2 Ca 2.35
Au1 0.5000 0.5000 0.5000  4 Ru 3.15, 8 Co 3.24

Properties
DFT total energy = -19.31 eV/cell
DOS(E_F) = 6.178 states/eV/f.u.
Energy of formation from the pure elements = 1891.9 meV per atom

=====

Computed, not measured: an optimized crystal structure of Ca2TlCoAu at the PBE-GGA level of DFT.

a = 5.6383 Å, b = 5.6383 Å, c = 5.2173 Å
α = 90.00°, β = 90.00°, γ = 90.00°
With the nearest neighbours (Å) after each atom.
Fractional coordinates of all 5 atoms:
Ca1 0.0000 0.5000 0.0000  2 Au 2.82
Ca2 0.5000 0.0000 0.0000  2 Au 2.82
Tl1 0.0000 0.0000 0.5000  2 Au 2.61
Co1 0.5000 0.5000 0.5000  8 Ca 3.84, 4 Tl 3.99
Au1 0.0000 0.0000 0.0000  2 Tl 2.61, 4 Ca 2.82

Properties
DFT total energy = -14.70 eV/cell
DOS(E_F) = 4.892 states/eV/f.u.
Energy of formation from the pure elements = 409.8 meV per atom

=====

Computed, not measured: an optimized crystal structure of CaCrAu2 at the PBE-GGA level of DFT.

a = 4.6980 Å, b = 4.6980 Å, c = 3.6454 Å
α = 90.00°, β = 90.00°, γ = 90.00°
With the nearest neighbours (Å) after each atom.
Fractional coordinates of all 4 atoms:
Ca1 0.0000 0.0000 0.0000  8 Au 2.97, 4 Cr 3.32
Cr1 0.5000 0.5000 0.0000  8 Au 2.97, 4 Ca 3.32
Au1 0.0000 0.5000 0.5000  4 Cr 2.97, 4 Ca 2.97, 4 Au 3.32
Au2 0.5000 0.0000 0.5000  4 Cr 2.97, 4 Ca 2.97, 4 Au 3.32

Properties
DFT total energy = -19.13 eV/cell
DOS(E_F) = 1.815 states/eV/f.u.
Energy of formation from the pure elements = -237.5 meV per atom

=====

Computed, not measured: an optimized crystal structure of CaCrAu2 at the PBE-GGA level of DFT.

a = 5.0344 Å, b = 5.0344 Å, c = 16.1539 Å
α = 90.00°, β = 90.00°, γ = 90.00°
With the nearest neighbours (Å) after each atom.
Fractional coordinates of all 16 atoms:
Ca1 0.0000 0.0000 0.0000  4 Au 2.99
Ca2 0.0000 0.5000 0.2500  4 Au 2.99
Ca3 0.5000 0.0000 0.7500  4 Au 2.99
Ca4 0.5000 0.5000 0.5000  4 Au 2.99
Cr1 0.0000 0.0000 0.5000  4 Au 2.48
Cr2 0.0000 0.5000 0.7500  4 Au 2.48
Cr3 0.5000 0.0000 0.2500  4 Au 2.48
Cr4 0.5000 0.5000 0.0000  4 Au 2.48
Au1 0.1417 0.2500 0.6250  2 Cr 2.48
Au2 0.2500 0.6417 0.8750  2 Cr 2.48
Au3 0.2500 0.8583 0.3750  2 Cr 2.48
Au4 0.3583 0.2500 0.1250  2 Cr 2.48
Au5 0.6417 0.7500 0.1250  2 Cr 2.48
Au6 0.7500 0.1417 0.3750  2 Cr 2.48
Au7 0.7500 0.3583 0.8750  2 Cr 2.48
Au8 0.8583 0.7500 0.6250  2 Cr 2.48

Properties
DFT total energy = -65.36 eV/cell
DOS(E_F) = 4.376 states/eV/f.u.
Energy of formation from the pure elements = 459.7 meV per atom

=====

Computed, not measured: an optimized crystal structure of Ca2CrAu at the PBE-GGA level of DFT.

a = 4.4833 Å, b = 4.4833 Å, c = 9.8090 Å
α = 90.00°, β = 90.00°, γ = 90.00°
With the nearest neighbours (Å) after each atom.
Fractional coordinates of all 8 atoms:
Ca1 0.0000 0.0000 0.0000  4 Au 3.17, 4 Cr 3.32, 4 Ca 3.32
Ca2 0.0000 0.5000 0.2500  4 Cr 3.17, 4 Ca 3.32, 4 Au 3.32
Ca3 0.5000 0.0000 0.7500  4 Cr 3.17, 4 Ca 3.32, 4 Au 3.32
Ca4 0.5000 0.5000 0.5000  4 Au 3.17, 4 Cr 3.32, 4 Ca 3.32
Cr1 0.0000 0.5000 0.7500  8 Ca 3.17-3.32, 4 Au 3.32
Cr2 0.5000 0.0000 0.2500  8 Ca 3.17-3.32, 4 Au 3.32
Au1 0.0000 0.0000 0.5000  8 Ca 3.17-3.32, 4 Cr 3.32
Au2 0.5000 0.5000 0.0000  8 Ca 3.17-3.32, 4 Cr 3.32

Properties
DFT total energy = -33.49 eV/cell
DOS(E_F) = 2.573 states/eV/f.u.
E above lowest polymorph = 142 meV per atom
Energy of formation from the pure elements = 40.2 meV per atom

=====

Computed, not measured: an optimized crystal structure of CaCrAu2 at the PBE-GGA level of DFT.

a = 10.0200 Å, b = 4.2902 Å, c = 4.0654 Å
α = 90.00°, β = 113.86°, γ = 90.00°
With the nearest neighbours (Å) after each atom.
Fractional coordinates of all 8 atoms:
Ca1 0.0000 0.0000 0.0000  8 Au 2.96-3.12, 4 Cr 3.10-3.11
Ca2 0.5000 0.5000 0.0000  8 Au 2.96-3.12, 4 Cr 3.10-3.11
Cr1 0.2443 0.5000 0.2440  8 Au 2.96-3.19, 4 Ca 3.10-3.11
Cr2 0.7443 0.0000 0.2440  8 Au 2.96-3.19, 4 Ca 3.10-3.11
Au1 0.0026 0.5000 0.5026  4 Ca 2.96, 4 Cr 3.00-3.19, 4 Au 3.06-3.14
Au2 0.2532 0.0000 0.7534  4 Cr 2.96, 4 Au 3.06-3.14, 4 Ca 3.08-3.12
Au3 0.5026 0.0000 0.5026  4 Ca 2.96, 4 Cr 3.00-3.19, 4 Au 3.06-3.14
Au4 0.7532 0.5000 0.7534  4 Cr 2.96, 4 Au 3.06-3.14, 4 Ca 3.08-3.12

Properties
DFT total energy = -37.92 eV/cell
DOS(E_F) = 1.368 states/eV/f.u.
Energy of formation from the pure elements = -195.5 meV per atom

=====

Computed, not measured: an optimized crystal structure of CaCrAu2 at the PBE-GGA level of DFT.

a = 3.4754 Å, b = 3.5121 Å, c = 6.7082 Å
α = 90.00°, β = 90.00°, γ = 90.00°
With the nearest neighbours (Å) after each atom.
Fractional coordinates of all 4 atoms:
Ca1 0.0000 0.0000 0.0000  8 Au 3.11, 2 Cr 3.35, 2 Ca 3.48
Cr1 0.0000 0.0000 0.5000  8 Au 2.87
Au1 0.5000 0.5000 0.2816  4 Cr 2.87, 1 Au 2.93, 4 Ca 3.11
Au2 0.5000 0.5000 0.7184  4 Cr 2.87, 1 Au 2.93, 4 Ca 3.11

Properties
DFT total energy = -19.12 eV/cell
DOS(E_F) = 3.530 states/eV/f.u.
Energy of formation from the pure elements = -235.2 meV per atom

=====

Computed, not measured: an optimized crystal structure of CaCrAu2 at the PBE-GGA level of DFT.

a = 3.5750 Å, b = 3.5750 Å, c = 25.5660 Å
α = 90.00°, β = 90.00°, γ = 120.00°
With the nearest neighbours (Å) after each atom.
Fractional coordinates of all 12 atoms:
Ca1 0.0000 0.0000 0.0000  3 Au 2.94
Ca2 0.3333 0.6667 0.6667  3 Au 2.94
Ca3 0.6667 0.3333 0.3333  3 Au 2.94
Cr1 0.0000 0.0000 0.7717  3 Au 2.68
Cr2 0.3333 0.6667 0.4383  3 Au 2.68
Cr3 0.6667 0.3333 0.1050  3 Au 2.68
Au1 0.0000 0.0000 0.2513  3 Au 2.89, 3 Ca 2.94
Au2 0.0000 0.0000 0.5053  3 Cr 2.68, 3 Au 2.89
Au3 0.3333 0.6667 0.1720  3 Cr 2.68, 3 Au 2.89
Au4 0.3333 0.6667 0.9179  3 Au 2.89, 3 Ca 2.94
Au5 0.6667 0.3333 0.5846  3 Au 2.89, 3 Ca 2.94
Au6 0.6667 0.3333 0.8386  3 Cr 2.68, 3 Au 2.89

Properties
DFT total energy = -51.60 eV/cell
DOS(E_F) = 3.221 states/eV/f.u.
Energy of formation from the pure elements = 244.6 meV per atom

=====

Computed, not measured: an optimized crystal structure of Ca2CrAu at the PBE-GGA level of DFT.

a = 7.2197 Å, b = 7.2197 Å, c = 7.2197 Å
α = 90.00°, β = 90.00°, γ = 90.00°
With the nearest neighbours (Å) after each atom.
Fractional coordinates of all 16 atoms:
Ca1 0.0000 0.0000 0.0000  4 Ca 3.13, 4 Au 3.13
Ca2 0.0000 0.5000 0.5000  4 Ca 3.13, 4 Au 3.13
Ca3 0.2500 0.2500 0.2500  4 Cr 3.13, 4 Ca 3.13
Ca4 0.2500 0.7500 0.7500  4 Cr 3.13, 4 Ca 3.13
Ca5 0.5000 0.0000 0.5000  4 Ca 3.13, 4 Au 3.13
Ca6 0.5000 0.5000 0.0000  4 Ca 3.13, 4 Au 3.13
Ca7 0.7500 0.2500 0.7500  4 Cr 3.13, 4 Ca 3.13
Ca8 0.7500 0.7500 0.2500  4 Cr 3.13, 4 Ca 3.13
Cr1 0.0000 0.0000 0.5000  4 Ca 3.13, 4 Au 3.13
Cr2 0.0000 0.5000 0.0000  4 Ca 3.13, 4 Au 3.13
Cr3 0.5000 0.0000 0.0000  4 Ca 3.13, 4 Au 3.13
Cr4 0.5000 0.5000 0.5000  4 Ca 3.13, 4 Au 3.13
Au1 0.2500 0.2500 0.7500  4 Cr 3.13, 4 Ca 3.13
Au2 0.2500 0.7500 0.2500  4 Cr 3.13, 4 Ca 3.13
Au3 0.7500 0.2500 0.2500  4 Cr 3.13, 4 Ca 3.13
Au4 0.7500 0.7500 0.7500  4 Cr 3.13, 4 Ca 3.13

Properties
DFT total energy = -66.12 eV/cell
DOS(E_F) = 4.170 states/eV/f.u.
E above lowest polymorph = 196 meV per atom
Energy of formation from the pure elements = 93.5 meV per atom

=====

Computed, not measured: an optimized crystal structure of CaCr3Au at the PBE-GGA level of DFT.

a = 4.3002 Å, b = 4.3002 Å, c = 4.3002 Å
α = 90.00°, β = 90.00°, γ = 90.00°
With the nearest neighbours (Å) after each atom.
Fractional coordinates of all 5 atoms:
Ca1 0.0000 0.0000 0.0000  6 Cr 2.15
Cr1 0.0000 0.0000 0.5000  2 Ca 2.15
Cr2 0.0000 0.5000 0.0000  2 Ca 2.15
Cr3 0.5000 0.0000 0.0000  2 Ca 2.15
Au1 0.5000 0.5000 0.5000  12 Cr 3.04

Properties
DFT total energy = -22.13 eV/cell
DOS(E_F) = 6.593 states/eV/f.u.
E above lowest polymorph = 1449 meV per atom
Energy of formation from the pure elements = 2404.7 meV per atom

=====

Computed, not measured: an optimized crystal structure of Ca2CrAu at the PBE-GGA level of DFT.

a = 8.2868 Å, b = 8.2868 Å, c = 6.2914 Å
α = 90.00°, β = 90.00°, γ = 90.00°
With the nearest neighbours (Å) after each atom.
Fractional coordinates of all 16 atoms:
Ca1 0.2219 0.2500 0.1250  2 Au 2.88, 2 Ca 3.18, 2 Cr 3.20
Ca2 0.2500 0.7219 0.3750  2 Au 2.88, 2 Ca 3.18, 2 Cr 3.20
Ca3 0.2500 0.7781 0.8750  2 Au 2.88, 2 Ca 3.18, 2 Cr 3.20
Ca4 0.2781 0.2500 0.6250  2 Au 2.88, 2 Ca 3.18, 2 Cr 3.20
Ca5 0.7219 0.7500 0.6250  2 Au 2.88, 2 Ca 3.18, 2 Cr 3.20
Ca6 0.7500 0.2219 0.8750  2 Au 2.88, 2 Ca 3.18, 2 Cr 3.20
Ca7 0.7500 0.2781 0.3750  2 Au 2.88, 2 Ca 3.18, 2 Cr 3.20
Ca8 0.7781 0.7500 0.1250  2 Au 2.88, 2 Ca 3.18, 2 Cr 3.20
Cr1 0.0000 0.0000 0.5000  2 Au 3.15, 4 Ca 3.20
Cr2 0.0000 0.5000 0.7500  2 Au 3.15, 4 Ca 3.20
Cr3 0.5000 0.0000 0.2500  2 Au 3.15, 4 Ca 3.20
Cr4 0.5000 0.5000 0.0000  2 Au 3.15, 4 Ca 3.20
Au1 0.0000 0.0000 0.0000  4 Ca 2.88, 2 Cr 3.15
Au2 0.0000 0.5000 0.2500  4 Ca 2.88, 2 Cr 3.15
Au3 0.5000 0.0000 0.7500  4 Ca 2.88, 2 Cr 3.15
Au4 0.5000 0.5000 0.5000  4 Ca 2.88, 2 Cr 3.15

Properties
DFT total energy = -64.23 eV/cell
DOS(E_F) = 3.862 states/eV/f.u.
E above lowest polymorph = 314 meV per atom
Energy of formation from the pure elements = 211.5 meV per atom